Li2Cd2Ga2IrPt: optimized geometry, PBE-GGA.

abc: 4.469 4.469 6.335
angles: 90.00 90.00 90.00
Atoms (fractional coordinates):
Cd: 0.500 0.000 0.250
Cd: 0.000 0.500 0.750
Ga: 0.000 0.500 0.239
Ga: 0.500 0.000 0.761
Ir: 0.000 0.000 0.000
Li: 0.500 0.500 0.000
Li: 0.000 0.000 0.500
Pt: 0.500 0.500 0.500

Computed properties:
SG: P-4m2 (115)
Calculated volume in A^3/atom: 15.82
Crystal system: tetragonal
Raw total energy in eV per atom: -3.72